Record 1
Entry from the Alexandria database: crystalline PdSeSN2 at its relaxed geometry (GGA-PBE).

ΔE_f (raw), eV/atom: 1.51
Energy relative to the lowest polymorph listed for this composition, meV per atom: 166

Unit cell a=3.7322 b=3.7322 c=8.1530 alpha=90.00 beta=90.00 gamma=90.00
Site moments in Bohr magnetons follow the coordinates.
Fractional positions:
S1 0.0000 0.0000 0.5000  0.02
N1 0.5000 0.0000 0.0000  0.26
Pd1 0.0000 0.0000 0.0000  0.07
Se1 0.5000 0.5000 0.5000  0.02
N2 0.0000 0.5000 0.0000  0.26

=====

Record 2
Entry from the Alexandria database: crystalline BeFe4Co at its relaxed geometry (GGA-PBE).

Energy relative to the lowest polymorph listed for this composition, meV per atom: 226
ΔE_f, eV per atom: 0.1796

Unit cell a=6.8295 b=4.7439 c=3.8747 alpha=90.00 beta=90.00 gamma=90.06
Site moments in Bohr magnetons follow the coordinates.
Fractional positions:
Fe1 0.6704 0.2659 0.5001  -1.03
Fe2 0.1700 0.7352 0.0001  -1.05
Fe3 0.8392 0.7398 0.9999  1.59
Fe4 0.1608 0.2602 0.9999  1.59
Fe5 0.3296 0.7341 0.5001  -1.03
Fe6 0.8300 0.2648 0.0001  -1.05
Fe7 0.3395 0.2594 0.4999  1.60
Be1 0.5000 0.5000 0.0000  -0.02
Fe8 0.6605 0.7406 0.4999  1.60
Be2 0.0000 0.5000 0.5000  -0.02
Co1 0.0000 0.0000 0.5000  0.94
Co2 0.5000 0.0000 0.0000  0.94

=====

Record 3
Entry from the Alexandria database: crystalline Pm2Co2Sn at its relaxed geometry (GGA-PBE).

ΔE_f, eV per atom: -0.3514

Unit cell a=4.2806 b=5.6264 c=5.6264 alpha=60.55 beta=67.64 gamma=67.64
Site moments in Bohr magnetons follow the coordinates.
Fractional positions:
Pm1 0.7952 0.7048 0.7048  -0.10
Co1 0.5000 0.3019 0.6981  0.76
Pm2 0.2048 0.2952 0.2952  -0.10
Co2 0.5000 0.6981 0.3019  0.76
Sn1 0.0000 0.0000 0.0000  0.02

=====

Record 4
Entry from the Alexandria database: crystalline CaTeP2Cl at its relaxed geometry (GGA-PBE).

ΔE_f (raw), eV/atom: 0.39
Energy relative to the lowest polymorph listed for this composition, meV per atom: 308

Unit cell a=5.4991 b=5.4991 c=4.9182 alpha=90.00 beta=90.00 gamma=90.00
Site moments in Bohr magnetons follow the coordinates.
Fractional positions:
Te1 0.5000 0.5000 0.5000  -0.25
Cl1 0.0000 0.0000 0.5000  0.04
P1 0.0000 0.5000 0.0000  0.28
Ca1 0.0000 0.0000 0.0000  0.01
P2 0.5000 0.0000 0.0000  0.28

=====

Record 5
Entry from the Alexandria database: crystalline Ta2MoHPd at its relaxed geometry (GGA-PBE).

VASP energy, eV/atom: -8.70

Unit cell a=4.2827 b=4.2827 c=3.7813 alpha=90.00 beta=90.00 gamma=90.00
Fractional positions:
Ta1 0.0000 0.5000 0.0000
Mo1 0.0000 0.0000 0.5000
H1 0.0000 0.0000 0.0000
Pd1 0.5000 0.5000 0.5000
Ta2 0.5000 0.0000 0.0000

=====

Record 6
Entry from the Alexandria database: crystalline AcSmPu2O8 at its relaxed geometry (GGA-PBE).

ΔE_f (raw), eV/atom: -2.79

Unit cell a=6.5439 b=6.5439 c=6.5439 alpha=108.87 beta=108.87 gamma=110.68
Site moments in Bohr magnetons follow the coordinates.
Fractional positions:
Sm1 0.2500 0.7500 0.5000  0.00
Pu1 0.7500 0.2500 0.5000  3.32
O1 0.7192 0.0457 0.6735  -0.11
O2 0.3066 0.1200 0.8133  -0.11
Pu2 0.5000 0.5000 0.0000  3.40
O3 0.8800 0.6934 0.1867  -0.11
O4 0.3066 0.4933 0.1867  -0.11
O5 0.9543 0.6278 0.6735  -0.11
O6 0.5067 0.6934 0.8133  -0.11
O7 0.9543 0.2808 0.3265  -0.11
Ac1 0.0000 0.0000 0.0000  -0.01
O8 0.3722 0.0457 0.3265  -0.11

=====

Record 7
Entry from the Alexandria database: crystalline NaNiAgI2 at its relaxed geometry (GGA-PBE).

ΔE_f (raw), eV/atom: 0.73

Unit cell a=5.7525 b=5.2578 c=5.7525 alpha=90.00 beta=90.00 gamma=90.00
Site moments in Bohr magnetons follow the coordinates.
Fractional positions:
Ag1 0.0000 0.5000 0.0000  0.01
Ni1 0.5000 0.5000 0.5000  -0.84
I1 0.0000 0.0000 0.5000  -0.01
I2 0.5000 0.0000 0.0000  0.00
Na1 0.0000 0.0000 0.0000  0.00

=====

Record 8
Entry from the Alexandria database: crystalline TlGeSeBr2 at its relaxed geometry (GGA-PBE).

ΔE_f (raw), eV/atom: 0.28
Energy relative to the lowest polymorph listed for this composition, meV per atom: 640

Unit cell a=5.5699 b=5.5699 c=5.4647 alpha=90.00 beta=90.00 gamma=90.00
Site moments in Bohr magnetons follow the coordinates.
Fractional positions:
Br1 0.5000 0.0000 0.0000  -0.01
Tl1 0.0000 0.0000 0.0000  0.00
Ge1 0.5000 0.5000 0.5000  0.23
Br2 0.0000 0.5000 0.0000  -0.01
Se1 0.0000 0.0000 0.5000  -0.07

=====

Record 9
Entry from the Alexandria database: crystalline Y2CuSi3Ir4 at its relaxed geometry (GGA-PBE).

ΔE_f (raw), eV/atom: -0.91

Unit cell a=4.1091 b=4.1091 c=10.0151 alpha=90.00 beta=90.00 gamma=90.00
Fractional positions:
Y1 0.5000 0.0000 0.2536
Si1 0.5000 0.0000 0.8710
Cu1 0.5000 0.5000 0.5000
Si2 0.0000 0.0000 0.5000
Y2 0.0000 0.5000 0.7464
Ir1 0.5000 0.0000 0.6360
Si3 0.0000 0.5000 0.1290
Ir2 0.0000 0.5000 0.3640
Ir3 0.5000 0.5000 0.0000
Ir4 0.0000 0.0000 0.0000

=====

Record 10
Entry from the Alexandria database: crystalline CaEr at its relaxed geometry (GGA-PBE).

ΔE_f, eV per atom: 0.1380

Unit cell a=3.5699 b=8.3287 c=5.2444 alpha=90.00 beta=90.00 gamma=115.27
Fractional positions:
Ca1 0.8853 0.6352 0.2500
Ca2 0.1147 0.3648 0.7500
Er1 0.6435 0.8934 0.7500
Er2 0.3565 0.1066 0.2500

=====

Record 11
Entry from the Alexandria database: crystalline La4DyEr4 at its relaxed geometry (GGA-PBE).

Energy relative to the lowest polymorph listed for this composition, meV per atom: 0
ΔE_f, eV per atom: 0.0320

Unit cell a=5.1265 b=8.0771 c=8.0771 alpha=84.22 beta=71.50 gamma=71.50
Fractional positions:
Er1 0.9999 0.6632 0.3369
La1 0.3332 0.9997 0.3338
Dy1 0.0000 0.0000 0.0000
Er2 0.6631 0.3369 0.3368
Er3 0.0001 0.3368 0.6631
La2 0.3330 0.3338 0.0003
Er4 0.3369 0.6631 0.6632
La3 0.6670 0.6662 0.9997
La4 0.6668 0.0003 0.6662

=====

Record 12
Entry from the Alexandria database: crystalline Ac8PdPt6 at its relaxed geometry (GGA-PBE).

ΔE_f, eV per atom: -0.9048

Unit cell a=4.8035 b=10.3871 c=10.3871 alpha=120.00 beta=90.00 gamma=90.00
Fractional positions:
Pt1 0.2519 0.0681 0.4614
Pt2 0.7481 0.6068 0.0681
Pt3 0.2519 0.5386 0.6068
Pt4 0.7481 0.4614 0.3932
Ac1 0.2504 0.2522 0.3089
Pt5 0.2519 0.3932 0.9319
Ac2 0.7496 0.7478 0.6911
Pd1 0.5000 0.0000 0.0000
Ac3 0.7496 0.3333 0.6667
Ac4 0.2504 0.0567 0.7478
Ac5 0.7496 0.9433 0.2522
Ac6 0.7496 0.3089 0.0567
Pt6 0.7481 0.9319 0.5386
Ac7 0.2504 0.6911 0.9433
Ac8 0.2504 0.6667 0.3333

=====

Record 13
Entry from the Alexandria database: crystalline Ho2ZnRh at its relaxed geometry (GGA-PBE).

ΔE_f, eV per atom: -0.1734

Unit cell a=3.9060 b=3.9060 c=9.5369 alpha=78.18 beta=78.18 gamma=60.00
Fractional positions:
Rh1 0.5000 0.5000 0.5000
Zn1 0.0000 0.0000 0.0000
Ho1 0.1123 0.1123 0.6632
Ho2 0.8877 0.8877 0.3368

=====

Record 14
Entry from the Alexandria database: crystalline CuHgPt at its relaxed geometry (GGA-PBE).

Energy relative to the lowest polymorph listed for this composition, meV per atom: 81
ΔE_f, eV per atom: 0.0980

Unit cell a=4.7209 b=9.3377 c=7.7720 alpha=92.24 beta=72.32 gamma=75.36
Fractional positions:
Hg1 0.8385 0.6028 0.2749
Cu1 0.1901 0.8675 0.9807
Hg2 0.5563 0.3410 0.2530
Hg3 0.2839 0.1028 0.7749
Hg4 0.5379 0.6211 0.7141
Cu2 0.9617 0.3675 0.4807
Hg5 0.1269 0.1211 0.2141
Pt1 0.4295 0.6111 0.0820
Cu3 0.7910 0.3625 0.8344
Pt2 0.3772 0.3685 0.6342
Pt3 0.8773 0.1111 0.5820
Hg6 0.8497 0.8410 0.7530
Pt4 0.4162 0.8627 0.5054
Cu4 0.2153 0.6129 0.4712
Pt5 0.6200 0.8685 0.1342
Pt6 0.2157 0.3627 0.0054
Cu5 0.0121 0.8625 0.3344
Cu6 0.7006 0.1129 0.9712

=====

Record 15
Entry from the Alexandria database: crystalline Li2BPd6 at its relaxed geometry (GGA-PBE).

Energy relative to the lowest polymorph listed for this composition, meV per atom: 0
ΔE_f, eV per atom: -0.3722

Unit cell a=5.6922 b=5.6922 c=5.6926 alpha=59.99 beta=59.99 gamma=60.00
Fractional positions:
Pd1 0.7570 0.7570 0.2437
Pd2 0.7572 0.2433 0.2428
Pd3 0.2433 0.7572 0.2428
Li1 0.7500 0.7500 0.7503
Pd4 0.2430 0.2430 0.7563
Pd5 0.7567 0.2428 0.7572
Pd6 0.2428 0.7567 0.7572
B1 0.5000 0.5000 0.5000
Li2 0.2500 0.2500 0.2497

=====

Record 16
Entry from the Alexandria database: crystalline CaDy2Pd9 at its relaxed geometry (GGA-PBE).

ΔE_f, eV per atom: -0.7508

Unit cell a=4.1318 b=4.1318 c=12.3386 alpha=90.00 beta=90.00 gamma=90.00
Fractional positions:
Pd1 0.0000 0.5000 0.1695
Ca1 0.0000 0.0000 0.0000
Pd2 0.5000 0.0000 0.8305
Pd3 0.5000 0.0000 0.5000
Pd4 0.5000 0.5000 0.0000
Dy1 0.0000 0.0000 0.3331
Pd5 0.5000 0.5000 0.6657
Pd6 0.5000 0.5000 0.3343
Dy2 0.0000 0.0000 0.6669
Pd7 0.0000 0.5000 0.8305
Pd8 0.0000 0.5000 0.5000
Pd9 0.5000 0.0000 0.1695

=====

Record 17
Entry from the Alexandria database: crystalline NaY2GaO at its relaxed geometry (GGA-PBE).

ΔE_f (raw), eV/atom: -1.29

Unit cell a=4.7398 b=4.7398 c=4.4773 alpha=90.00 beta=90.00 gamma=90.00
Fractional positions:
Y1 0.0000 0.5000 0.0000
Ga1 0.5000 0.5000 0.5000
Na1 0.0000 0.0000 0.5000
Y2 0.5000 0.0000 0.0000
O1 0.0000 0.0000 0.0000

=====

Record 18
Entry from the Alexandria database: crystalline InOsAuBr2 at its relaxed geometry (GGA-PBE).

ΔE_f (raw), eV/atom: 1.30

Unit cell a=5.5216 b=5.3508 c=5.5216 alpha=90.00 beta=90.00 gamma=90.00
Site moments in Bohr magnetons follow the coordinates.
Fractional positions:
Os1 0.5000 0.5000 0.5000  3.53
In1 0.0000 0.0000 0.0000  0.00
Br1 0.0000 0.0000 0.5000  0.08
Br2 0.5000 0.0000 0.0000  0.09
Au1 0.0000 0.5000 0.0000  0.08

=====

Record 19
Entry from the Alexandria database: crystalline Er4ScZn2 at its relaxed geometry (GGA-PBE).

ΔE_f, eV per atom: 0.1115

Unit cell a=5.2365 b=5.2365 c=8.6677 alpha=72.42 beta=72.42 gamma=60.00
Fractional positions:
Er1 0.3731 0.3731 0.8806
Er2 0.6269 0.6269 0.1194
Er3 0.7736 0.7736 0.6793
Sc1 0.0000 0.0000 0.0000
Zn1 0.1082 0.1082 0.6754
Zn2 0.8918 0.8918 0.3246
Er4 0.2264 0.2264 0.3207

=====

Record 20
Entry from the Alexandria database: crystalline Er2LuCl at its relaxed geometry (GGA-PBE).

ΔE_f (raw), eV/atom: -0.63

Unit cell a=3.5555 b=3.5555 c=10.0178 alpha=79.78 beta=79.78 gamma=60.00
Fractional positions:
Er1 0.2593 0.2593 0.2220
Cl1 0.0000 0.0000 0.0000
Er2 0.7407 0.7407 0.7780
Lu1 0.5000 0.5000 0.5000

=====

Record 21
Entry from the Alexandria database: crystalline NdCuGe2Pt5 at its relaxed geometry (GGA-PBE).

ΔE_f, eV per atom: -0.4567

Unit cell a=4.1758 b=4.1758 c=9.3420 alpha=90.00 beta=90.00 gamma=90.00
Fractional positions:
Pt1 0.5000 0.0000 0.2663
Pt2 0.0000 0.5000 0.7337
Pt3 0.0000 0.5000 0.2663
Nd1 0.0000 0.0000 0.5000
Ge1 0.5000 0.5000 0.1274
Ge2 0.5000 0.5000 0.8726
Cu1 0.0000 0.0000 0.0000
Pt4 0.5000 0.5000 0.5000
Pt5 0.5000 0.0000 0.7337

=====

Record 22
Entry from the Alexandria database: crystalline MgAgPd4 at its relaxed geometry (GGA-PBE).

Energy relative to the lowest polymorph listed for this composition, meV per atom: 0
ΔE_f, eV per atom: -0.3085

Unit cell a=4.0246 b=6.2569 c=3.9996 alpha=90.00 beta=90.00 gamma=108.76
Fractional positions:
Ag1 0.0000 0.0000 0.0000
Pd1 0.1670 0.3341 0.5000
Pd2 0.3330 0.6660 0.0000
Pd3 0.6670 0.3340 0.0000
Mg1 0.5000 0.0000 0.5000
Pd4 0.8330 0.6659 0.5000

=====

Record 23
Entry from the Alexandria database: crystalline Th3Cu at its relaxed geometry (GGA-PBE).

ΔE_f, eV per atom: 0.2155

Unit cell a=3.4576 b=3.4572 c=9.7345 alpha=90.00 beta=90.00 gamma=90.00
Fractional positions:
Th1 0.0000 0.5000 0.4639
Cu1 0.0000 0.0000 0.9816
Th2 0.5000 0.5000 0.1532
Th3 0.5000 0.0000 0.7346

=====

Record 24
Entry from the Alexandria database: crystalline K2Sn12Pd7 at its relaxed geometry (GGA-PBE).

ΔE_f, eV per atom: -0.3580

Unit cell a=4.3923 b=11.3482 c=11.3482 alpha=120.00 beta=90.00 gamma=90.00
Fractional positions:
Pd1 0.0000 0.7291 0.9573
Sn1 0.5000 0.3933 0.2858
Sn2 0.5000 0.5587 0.7669
Pd2 0.5000 0.4360 0.0680
K1 0.0000 0.6667 0.3333
Pd3 0.5000 0.9320 0.3679
K2 0.5000 0.0000 0.0000
Sn3 0.5000 0.8925 0.6067
Pd4 0.5000 0.6321 0.5640
Sn4 0.0000 0.9582 0.2193
Sn5 0.5000 0.7142 0.1074
Pd5 0.0000 0.2282 0.2709
Pd6 0.0000 0.3333 0.6667
Sn6 0.5000 0.2331 0.7917
Sn7 0.0000 0.7807 0.7389
Pd7 0.0000 0.0427 0.7718
Sn8 0.0000 0.2611 0.0418
Sn9 0.0000 0.0512 0.5332
Sn10 0.0000 0.4668 0.5180
Sn11 0.5000 0.2083 0.4413
Sn12 0.0000 0.4820 0.9488